Entry from Alexandria via LeMat-Bulk: crystalline KScSe2 at its relaxed geometry (PBE-GGA).

abc: 6.1825 6.1825 6.1825
angles: 143.46 99.80 91.51
With the nearest neighbours (Å) after each atom.
Atoms (fractional coordinates):
K: 0.7500 0.2500 0.5000  4 Se 3.20
Sc: 0.2500 0.7500 0.5000  4 Se 2.63
Se: 0.0446 0.0446 0.0000  2 Sc 2.63
Se: 0.4554 0.4554 0.0000  2 Sc 2.63

The calculated volume is 33.29 Å³/atom. Its formation energy (no corrections) is -117.0 kJ per mole of atoms. The value obtained for the magnetic moment is 0.000 μB per atom.